Entry a
Density functional theory data (PBE) for Pm2TlSe after structural relaxation.

Calculated values
Density, g cm⁻³: 8.15
V, Å³/atom: 29.2

a = 4.1086 Å, b = 4.1086 Å, c = 8.3349 Å
α = 104.20°, β = 104.20°, γ = 59.93°
Element x y z (fractional)
Pm1 0.2401 0.2401 0.2215
Pm2 0.7599 0.7599 0.7785
Tl1 0.0000 0.0000 0.5000
Se1 0.5000 0.5000 0.0000

Entry b
Density functional theory data (PBE) for Pm2TlSe after structural relaxation.

Calculated values
Density, g cm⁻³: 8.94
V, Å³/atom: 26.6

a = 3.5972 Å, b = 3.5972 Å, c = 8.2309 Å
α = 90.00°, β = 90.00°, γ = 90.00°
Element x y z (fractional)
Pm1 0.0000 0.0000 0.2276
Pm2 0.0000 0.0000 0.7724
Tl1 0.5000 0.5000 0.5000
Se1 0.5000 0.5000 0.0000

Entry c
Density functional theory data (PBE) for Pm2TlSe after structural relaxation.

Calculated values
Density, g cm⁻³: 8.09
V, Å³/atom: 29.4

a = 8.7310 Å, b = 8.7310 Å, c = 8.7310 Å
α = 26.61°, β = 26.61°, γ = 26.61°
Element x y z (fractional)
Pm1 0.0000 0.0000 0.0000
Pm2 0.1923 0.1923 0.1923
Tl1 0.7632 0.7632 0.7632
Se1 0.5952 0.5952 0.5952

entry a takes first place; second place is 0.058 eV/atom up.

Entry a
Density functional theory data (PBE) for PmTm3Se4 after structural relaxation.

Calculated values
Density, g cm⁻³: 8.47
V, Å³/atom: 23.7

a = 7.0797 Å, b = 7.0797 Å, c = 3.9932 Å
α = 90.00°, β = 90.00°, γ = 108.56°
Element x y z (fractional)
Pm1 0.0000 0.0000 0.0000
Tm1 0.0000 0.5000 0.5000
Tm2 0.5000 0.0000 0.5000
Tm3 0.5000 0.5000 0.0000
Se1 0.2555 0.7445 0.0000
Se2 0.2611 0.2611 0.5000
Se3 0.7389 0.7389 0.5000
Se4 0.7445 0.2555 0.0000

Entry b
Density functional theory data (PBE) for PmTm3Se4 after structural relaxation.

Calculated values
Density, g cm⁻³: 8.44
V, Å³/atom: 23.8

a = 5.7525 Å, b = 5.7525 Å, c = 5.7525 Å
α = 90.00°, β = 90.00°, γ = 90.00°
Element x y z (fractional)
Pm1 0.0000 0.0000 0.0000
Tm1 0.0000 0.5000 0.5000
Tm2 0.5000 0.0000 0.5000
Tm3 0.5000 0.5000 0.0000
Se1 0.0000 0.0000 0.5000
Se2 0.0000 0.5000 0.0000
Se3 0.5000 0.0000 0.0000
Se4 0.5000 0.5000 0.5000

entry a takes first place; second place is 0.027 eV/atom up.

Entry a
Density functional theory data (PBE) for PmTm2Se4 after structural relaxation.

Calculated values
Density, g cm⁻³: 7.26
V, Å³/atom: 26.1

a = 6.9539 Å, b = 6.9539 Å, c = 13.7501 Å
α = 90.00°, β = 90.00°, γ = 146.69°
Element x y z (fractional)
Pm1 0.1248 0.8752 0.7500
Pm2 0.8752 0.1248 0.2500
Tm1 0.3695 0.6305 0.5683
Tm2 0.3695 0.6305 0.9317
Tm3 0.6305 0.3695 0.0683
Tm4 0.6305 0.3695 0.4317
Se1 0.0000 0.0000 0.0000
Se2 0.0000 0.0000 0.5000
Se3 0.2738 0.7262 0.1189
Se4 0.2738 0.7262 0.3811
Se5 0.4605 0.5395 0.7500
Se6 0.5395 0.4605 0.2500
Se7 0.7262 0.2738 0.6189
Se8 0.7262 0.2738 0.8811

Entry b
Density functional theory data (PBE) for PmTm2Se4 after structural relaxation.

Calculated values
Density, g cm⁻³: 6.90
V, Å³/atom: 27.5

a = 6.9667 Å, b = 4.0669 Å, c = 7.1340 Å
α = 90.00°, β = 108.05°, γ = 90.00°
Element x y z (fractional)
Pm1 0.0000 0.0000 0.0000
Tm1 0.0000 0.5000 0.5000
Tm2 0.5000 0.0000 0.5000
Se1 0.2449 0.0000 0.7351
Se2 0.2617 0.5000 0.2573
Se3 0.7383 0.5000 0.7427
Se4 0.7551 0.0000 0.2649

entry b takes first place; second place is 0.029 eV/atom up.

Entry a
Density functional theory data (PBE) for PmTm2Se after structural relaxation.

Calculated values
Density, g cm⁻³: 8.09
V, Å³/atom: 28.8

a = 9.7369 Å, b = 9.7369 Å, c = 9.7369 Å
α = 22.17°, β = 22.17°, γ = 22.17°
Element x y z (fractional)
Pm1 0.0000 0.0000 0.0000
Tm1 0.5655 0.5655 0.5655
Tm2 0.7689 0.7689 0.7689
Se1 0.1671 0.1671 0.1671

Entry b
Density functional theory data (PBE) for PmTm2Se after structural relaxation.

Calculated values
Density, g cm⁻³: 7.72
V, Å³/atom: 30.2

a = 10.6326 Å, b = 10.6326 Å, c = 10.6326 Å
α = 19.82°, β = 19.82°, γ = 19.82°
Element x y z (fractional)
Pm1 0.0000 0.0000 0.0000
Tm1 0.1090 0.1090 0.1090
Tm2 0.8910 0.8910 0.8910
Se1 0.5000 0.5000 0.5000

entry a takes first place; second place is 0.247 eV/atom up.